No. 1
Entry from Alexandria via LeMat-Bulk: Os5C7 after structural relaxation (GGA-PBE).

Lattice parameters (Å, degrees): 5.4942 5.4942 5.4942 102.99 102.99 123.40
Last column: nearest neighbours and their distance in Å.
Element x y z (fractional)
C 0.3306 0.3306 0.0000  5 Os 2.06-2.16
C 0.3582 0.8582 0.5000  2 C 1.36
C 0.8582 0.3582 0.5000  2 C 1.36
C 0.8054 0.1113 0.3060  1 C 1.36
C 0.8054 0.4994 0.6940  1 C 1.36
C 0.4994 0.8054 0.6940  1 C 1.36
C 0.1113 0.8054 0.3060  1 C 1.36
Os 0.9355 0.9355 0.0000  5 C 2.06-2.20
Os 0.7028 0.2953 0.0000  5 C 2.16-2.27
Os 0.2953 0.7028 0.0000  5 C 2.16-2.27
Os 0.7028 0.7028 0.4074  5 C 2.16-2.27
Os 0.2953 0.2953 0.5926  5 C 2.16-2.27

Calculated values
Spin magnetization in μB per atom: 0.0000
Symmetry: I4mm, No. 107
Energy of formation from the pure elements in eV per atom: 1.2228



No. 2
Entry from Alexandria via LeMat-Bulk: NbRhSeN2 after structural relaxation (GGA-PBE).

Lattice parameters (Å, degrees): 3.8717 3.8717 4.9502 90.00 90.00 90.00
Last column: nearest neighbours and their distance in Å.
Element x y z (fractional)
Nb 0.5000 0.5000 0.5000  4 Se 2.74
Rh 0.0000 0.0000 0.0000  4 N 1.94
Se 0.0000 0.0000 0.5000  2 Rh 2.48, 4 Nb 2.74
N 0.0000 0.5000 0.0000  2 Rh 1.94
N 0.5000 0.0000 0.0000  2 Rh 1.94

Calculated values
Spin magnetization in μB per atom: 0.0000
Uncorrected formation energy in eV/f.u.: 5.710
Symmetry: P4/mmm, No. 123
Excess energy over the best structure of this formula in the dataset in meV/atom: 492



No. 3
Entry from Alexandria via LeMat-Bulk: Dy2MnSi after structural relaxation (GGA-PBE).

Lattice parameters (Å, degrees): 3.4278 3.4278 10.1523 80.28 80.28 60.00
Last column: nearest neighbours and their distance in Å.
Element x y z (fractional)
Si 0.5000 0.5000 0.5000  6 Dy 2.85
Mn 0.0000 0.0000 0.0000  2 Dy 2.93
Dy 0.0980 0.0980 0.7060  3 Si 2.85, 1 Mn 2.93
Dy 0.9020 0.9020 0.2940  3 Si 2.85, 1 Mn 2.93

Calculated values
Spin magnetization in μB per atom: 0.8971
Uncorrected formation energy in eV/f.u.: 1.531
Symmetry: R-3m, No. 166



No. 4
Entry from Alexandria via LeMat-Bulk: Fe2ReTcB after structural relaxation (GGA-PBE).

Lattice parameters (Å, degrees): 3.8029 4.0368 3.8029 90.00 90.00 90.00
Last column: nearest neighbours and their distance in Å.
Element x y z (fractional)
Re 0.5000 0.5000 0.5000  4 Tc 2.69, 8 Fe 2.77
B 0.0000 0.0000 0.0000  4 Fe 1.90, 2 Tc 2.02
Tc 0.0000 0.5000 0.0000  2 B 2.02
Fe 0.0000 0.0000 0.5000  2 B 1.90
Fe 0.5000 0.0000 0.0000  2 B 1.90

Calculated values
Spin magnetization in μB per atom: 0.0000
Symmetry: P4/mmm, No. 123
Energy of formation from the pure elements in eV per atom: 0.1991



No. 5
Entry from Alexandria via LeMat-Bulk: Sr6Ge3H after structural relaxation (GGA-PBE).

Lattice parameters (Å, degrees): 7.4758 8.3513 10.7789 90.00 88.32 90.00
Last column: nearest neighbours and their distance in Å.
Element x y z (fractional)
Sr 0.6807 0.1769 0.9354  1 H 2.91, 2 Ge 3.09-3.23
Sr 0.6614 0.1760 0.5727  2 Ge 3.01-3.28, 1 H 3.07
Sr 0.6414 0.4556 0.2601  1 H 2.79, 1 Ge 3.05
Sr 0.3586 0.5444 0.7399  1 H 2.79, 1 Ge 3.05
Sr 0.3386 0.8240 0.4273  2 Ge 3.01-3.28, 1 H 3.07
Sr 0.3193 0.8231 0.0646  1 H 2.91, 2 Ge 3.09-3.23
Sr 0.1807 0.3231 0.4354  1 H 2.91, 2 Ge 3.09-3.23
Sr 0.1614 0.3240 0.0727  2 Ge 3.01-3.28, 1 H 3.07
Sr 0.1414 0.0444 0.7601  1 H 2.79, 1 Ge 3.05
Sr 0.8586 0.9556 0.2399  1 H 2.79, 1 Ge 3.05
Sr 0.8386 0.6760 0.9273  2 Ge 3.01-3.28, 1 H 3.07
Sr 0.8193 0.6769 0.5646  1 H 2.91, 2 Ge 3.09-3.23
Ge 0.5360 0.8894 0.7642  6 Sr 3.19-3.46
Ge 0.5000 0.5000 0.0000  6 Sr 3.01-3.09
Ge 0.4640 0.1106 0.2358  6 Sr 3.19-3.46
Ge 0.0360 0.6106 0.2642  6 Sr 3.19-3.46
Ge 0.0000 0.0000 0.5000  6 Sr 3.01-3.09
Ge 0.9640 0.3894 0.7358  6 Sr 3.19-3.46
H 0.5000 0.5000 0.5000  6 Sr 2.79-3.07
H 0.0000 0.0000 0.0000  6 Sr 2.79-3.07

Calculated values
Final energy in eV for the cell shown: -62.74
Spin magnetization in μB per atom: 0.0000
Symmetry: P2_1/c, No. 14



No. 6
Entry from Alexandria via LeMat-Bulk: Pa3Sb after structural relaxation (GGA-PBE).

Lattice parameters (Å, degrees): 4.5954 4.5954 5.6569 113.96 113.96 90.00
Last column: nearest neighbours and their distance in Å.
Element x y z (fractional)
Sb 0.0000 0.0000 0.0000  12 Pa 3.25-3.26
Pa 0.7500 0.2500 0.5000  8 Pa 3.25-3.26, 4 Sb 3.26
Pa 0.2500 0.7500 0.5000  8 Pa 3.25-3.26, 4 Sb 3.26
Pa 0.5000 0.5000 0.0000  4 Sb 3.25, 8 Pa 3.26

Calculated values
Spin magnetization in μB per atom: 0.0000
Uncorrected formation energy in eV/f.u.: -1.108
Symmetry: I4/mmm, No. 139
Excess energy over the best structure of this formula in the dataset in meV/atom: 69



No. 7
Entry from Alexandria via LeMat-Bulk: BiI2NCl after structural relaxation (GGA-PBE).

Lattice parameters (Å, degrees): 4.9207 5.2231 4.9207 90.00 90.00 90.00
Last column: nearest neighbours and their distance in Å.
Element x y z (fractional)
I 0.0000 0.0000 0.5000  2 N 2.46
I 0.5000 0.0000 0.0000  2 N 2.46
N 0.0000 0.0000 0.0000  4 I 2.46, 2 Bi 2.61
Bi 0.0000 0.5000 0.0000  2 N 2.61
Cl 0.5000 0.5000 0.5000  4 Bi 3.48, 8 I 3.59

Calculated values
Spin magnetization in μB per atom: 0.0000
Uncorrected formation energy in eV/f.u.: 3.396
Symmetry: P4/mmm, No. 123
Excess energy over the best structure of this formula in the dataset in meV/atom: 0



No. 8
Entry from Alexandria via LeMat-Bulk: YSc2Pt after structural relaxation (GGA-PBE).

Lattice parameters (Å, degrees): 5.7704 5.7704 5.7704 137.35 137.35 61.90
Last column: nearest neighbours and their distance in Å.
Element x y z (fractional)
Pt 0.7500 0.2500 0.5000  8 Sc 2.97-3.24, 4 Y 3.24
Sc 0.0000 0.0000 0.0000  4 Y 2.97, 4 Sc 3.24, 4 Pt 3.24
Sc 0.2500 0.7500 0.5000  4 Pt 2.97, 4 Sc 3.24, 4 Y 3.24
Y 0.5000 0.5000 0.0000  8 Sc 2.97-3.24, 4 Pt 3.24

Calculated values
Spin magnetization in μB per atom: 0.0002
Symmetry: I-4m2, No. 119
Energy of formation from the pure elements in eV per atom: -0.4028
Excess energy over the best structure of this formula in the dataset in meV/atom: 303



No. 9
Entry from Alexandria via LeMat-Bulk: ZnAsPt3 after structural relaxation (GGA-PBE).

Lattice parameters (Å, degrees): 4.6627 4.6627 4.6627 90.00 90.00 90.00
Last column: nearest neighbours and their distance in Å.
Element x y z (fractional)
As 0.0000 0.0000 0.0000  6 Pt 2.33
Zn 0.5000 0.5000 0.5000  12 Pt 3.30
Pt 0.0000 0.5000 0.0000  2 As 2.33
Pt 0.0000 0.0000 0.5000  2 As 2.33
Pt 0.5000 0.0000 0.0000  2 As 2.33

Calculated values
Spin magnetization in μB per atom: 0.0000
Symmetry: Pm-3m, No. 221
Energy of formation from the pure elements in eV per atom: 0.4495
Excess energy over the best structure of this formula in the dataset in meV/atom: 0



No. 10
Entry from Alexandria via LeMat-Bulk: Ac5Tb2Sm4 after structural relaxation (GGA-PBE).

Lattice parameters (Å, degrees): 3.6947 12.5446 15.9742 144.38 90.00 90.00
Last column: nearest neighbours and their distance in Å.
Element x y z (fractional)
Ac 0.0000 0.5971 0.2809  2 Tb 3.50-3.85, 4 Ac 3.57-3.72, 2 Sm 3.77
Ac 0.0000 0.2225 0.1990  4 Ac 3.69-3.73, 6 Sm 3.80-3.91
Ac 0.0000 0.5000 0.0000  2 Tb 3.52, 4 Ac 3.57-3.69, 4 Sm 3.85
Ac 0.0000 0.7775 0.8010  4 Ac 3.69-3.73, 6 Sm 3.80-3.91
Ac 0.0000 0.4029 0.7191  2 Tb 3.50-3.85, 4 Ac 3.57-3.72, 2 Sm 3.77
Tb 0.0000 0.0297 0.6507  3 Ac 3.50-3.85, 4 Sm 3.58-3.67, 2 Tb 3.69
Tb 0.0000 0.9703 0.3493  3 Ac 3.50-3.85, 4 Sm 3.58-3.67, 2 Tb 3.69
Sm 0.5000 0.6835 0.5378  2 Tb 3.58, 4 Sm 3.68-3.69, 6 Ac 3.77-3.91
Sm 0.5000 0.1549 0.9206  2 Tb 3.67, 3 Sm 3.68-3.69, 6 Ac 3.84-3.92
Sm 0.5000 0.3165 0.4622  2 Tb 3.58, 4 Sm 3.68-3.69, 6 Ac 3.77-3.91
Sm 0.5000 0.8451 0.0794  2 Tb 3.67, 3 Sm 3.68-3.69, 6 Ac 3.84-3.92

Calculated values
Spin magnetization in μB per atom: 0.0000
Symmetry: P2/m, No. 10
Energy of formation from the pure elements in eV per atom: 0.1624



No. 11
Entry from Alexandria via LeMat-Bulk: CeDy8 after structural relaxation (GGA-PBE).

Lattice parameters (Å, degrees): 5.0169 7.9134 7.9134 84.23 71.52 71.52
Last column: nearest neighbours and their distance in Å.
Element x y z (fractional)
Ce 0.0000 0.0000 0.0000  12 Dy 3.53
Dy 0.3346 0.0000 0.3307  10 Dy 3.51-3.57, 2 Ce 3.53
Dy 0.6654 0.0000 0.6693  10 Dy 3.51-3.57, 2 Ce 3.53
Dy 0.6654 0.6693 0.0000  10 Dy 3.51-3.57, 2 Ce 3.53
Dy 0.0000 0.6673 0.3327  1 Ce 3.53, 11 Dy 3.54-3.55
Dy 0.3327 0.6673 0.6673  1 Ce 3.53, 11 Dy 3.54-3.55
Dy 0.6673 0.3327 0.3327  1 Ce 3.53, 11 Dy 3.54-3.55
Dy 0.0000 0.3327 0.6673  1 Ce 3.53, 11 Dy 3.54-3.55
Dy 0.3346 0.3307 0.0000  10 Dy 3.51-3.57, 2 Ce 3.53

Calculated values
Spin magnetization in μB per atom: 0.1171
Symmetry: I4/mmm, No. 139
Energy of formation from the pure elements in eV per atom: 0.0407



No. 12
Entry from Alexandria via LeMat-Bulk: Pm2IrRhO8 after structural relaxation (GGA-PBE).

Lattice parameters (Å, degrees): 5.9576 4.7271 6.2009 105.03 76.24 107.06
Last column: nearest neighbours and their distance in Å.
Element x y z (fractional)
Pm 0.6392 0.3816 0.6859  6 O 2.33-2.58
Pm 0.3608 0.6184 0.3141  6 O 2.33-2.58
Ir 0.0000 0.0000 0.0000  6 O 1.90-2.01
Rh 0.0000 0.0000 0.5000  6 O 2.01-2.03
O 0.0760 0.7743 0.1798  1 Ir 1.93, 1 Rh 2.01
O 0.6809 0.7586 0.0289  1 Ir 1.90
O 0.9429 0.2539 0.3138  1 Rh 2.01, 1 Ir 2.01
O 0.9240 0.2257 0.8202  1 Ir 1.93, 1 Rh 2.01
O 0.3191 0.2414 0.9711  1 Ir 1.90
O 0.0571 0.7461 0.6862  1 Rh 2.01, 1 Ir 2.01
O 0.6437 0.8114 0.5510  1 Rh 2.03
O 0.3563 0.1886 0.4490  1 Rh 2.03

Calculated values
Spin magnetization in μB per atom: 0.0155
Uncorrected formation energy in eV/f.u.: -21.577
Symmetry: P-1, No. 2